Density functional theory data (PBE) for a relaxed SrCo2Cl crystal.

Unit cell a=3.4362 b=3.4336 c=8.0321 alpha=90.00 beta=90.64 gamma=90.00
With the nearest neighbours (Å) after each atom.
Space group Pm (No. 6)
Symmetry-distinct sites (fractional):
Sr 0.0000 0.0000 0.0000 x1  4 Cl 2.88, 4 Co 3.12
Co 0.4898 0.0000 0.6760 x1  4 Co 2.43
Co 0.9897 0.5000 0.6759 x1  4 Co 2.43
Cl 0.5049 0.5000 0.1928 x1  4 Sr 2.88

Values from the calculation:
The calculation puts the raw formation energy at -187 meV per atom. The total moment comes out at 3.1 μB/cell. Its crystal system is monoclinic. Its calculated volume is 23.7 Å³/atom. The relative energy among the computed polymorphs is 0.000 eV/f.u.